1.
Below is a crystal of Y3C2 relaxed with PBEsol, with properties calculated at the meta-GGA SCAN level.

Calculated total energy: -21.170 eV/atom
M_tot: 0.002 μB per atom
Energy relative to the lowest polymorph listed for this composition: 8.0 meV per atom

a b c (Å): 3.583 3.583 9.505
angles (deg): 79.14 79.14 60.00
Element x y z (fractional)
C1 0.610 0.610 0.170
Y1 0.000 0.000 0.000
Y2 0.236 0.236 0.293
Y3 0.764 0.764 0.707
C2 0.390 0.390 0.830

2.
Below is a crystal of Y5C3 relaxed with PBEsol, with properties calculated at the meta-GGA SCAN level.

Calculated total energy: -20.977 eV/atom
M_tot: 0.000 μB per atom
Energy relative to the lowest polymorph listed for this composition: 12.8 meV per atom

a b c (Å): 3.755 6.517 6.517
angles (deg): 114.66 90.00 90.00
Element x y z (fractional)
C1 0.000 0.500 0.500
Y1 0.500 0.294 0.294
C2 0.500 0.161 0.839
Y2 0.000 0.500 0.000
C3 0.500 0.839 0.161
Y3 0.000 0.000 0.000
Y4 0.500 0.706 0.706
Y5 0.000 0.000 0.500

3.
Below is a crystal of Y5C relaxed with PBEsol, with properties calculated at the meta-GGA SCAN level.

Calculated total energy: -24.437 eV/atom
M_tot: 0.000 μB per atom
Energy relative to the lowest polymorph listed for this composition: 282.0 meV per atom

a b c (Å): 3.876 4.852 8.863
angles (deg): 90.00 102.63 90.00
Element x y z (fractional)
C1 0.053 0.000 0.106
Y1 0.316 0.000 0.633
Y2 0.458 0.500 0.915
Y3 0.776 0.500 0.553
Y4 0.630 0.000 0.261
Y5 0.100 0.500 0.200

4.
Below is a crystal of YC2 relaxed with PBEsol, with properties calculated at the meta-GGA SCAN level.

Calculated total energy: -15.337 eV/atom
M_tot: 0.000 μB per atom
Energy relative to the lowest polymorph listed for this composition: 1027.2 meV per atom

a b c (Å): 2.873 3.157 7.528
angles (deg): 90.00 101.00 90.00
Element x y z (fractional)
Y1 0.629 0.000 0.259
Y2 0.371 0.000 0.741
C1 0.500 0.500 0.000
C2 0.227 0.500 0.453
C3 0.773 0.500 0.547
C4 0.000 0.000 0.000

5.
Below is a crystal of Y5C relaxed with PBEsol, with properties calculated at the meta-GGA SCAN level.

Calculated total energy: -24.719 eV/atom
M_tot: 0.000 μB per atom
Energy relative to the lowest polymorph listed for this composition: 0.0 meV per atom

a b c (Å): 3.268 3.268 13.873
angles (deg): 90.00 90.00 90.00
Element x y z (fractional)
Y1 0.500 0.500 0.307
Y2 0.000 0.000 0.904
C1 0.500 0.500 0.000
Y3 0.000 0.000 0.500
Y4 0.000 0.000 0.096
Y5 0.500 0.500 0.693

6.
Below is a crystal of Y3C2 relaxed with PBEsol, with properties calculated at the meta-GGA SCAN level.

Calculated total energy: -21.178 eV/atom
M_tot: 0.027 μB per atom
Energy relative to the lowest polymorph listed for this composition: 0.0 meV per atom

a b c (Å): 3.587 3.587 9.143
angles (deg): 90.00 90.00 120.00
Element x y z (fractional)
Y1 0.000 0.000 0.000
Y2 0.667 0.333 0.703
Y3 0.333 0.667 0.297
C1 0.667 0.333 0.173
C2 0.333 0.667 0.827

7.
Below is a crystal of YC2 relaxed with PBEsol, with properties calculated at the meta-GGA SCAN level.

Calculated total energy: -14.404 eV/atom
M_tot: 0.000 μB per atom
Energy relative to the lowest polymorph listed for this composition: 1961.0 meV per atom

a b c (Å): 2.777 2.777 4.605
angles (deg): 107.55 107.55 90.00
Element x y z (fractional)
C1 0.716 0.716 0.433
C2 0.284 0.284 0.567
Y1 0.000 0.000 0.000

8.
Below is a crystal of Y3C relaxed with PBEsol, with properties calculated at the meta-GGA SCAN level.

Calculated total energy: -23.671 eV/atom
M_tot: 0.224 μB per atom
Energy relative to the lowest polymorph listed for this composition: 0.0 meV per atom

a b c (Å): 3.544 4.962 6.374
angles (deg): 112.91 106.14 90.00
Element x y z (fractional)
C1 0.000 0.000 0.000
Y1 0.000 0.500 0.000
Y2 0.350 0.850 0.700
Y3 0.650 0.150 0.300